Here is crystalline EuErLuSc at its relaxed geometry from Alexandria. Energies are from PBE.

Cell lengths 5.5606, 5.5606, 5.5606 Å; angles 60.00, 60.00, 60.00 degrees
Last column: nearest neighbours and their distance in Å.
Sites, in units of the cell vectors:
Sc: 0.7500 0.7500 0.7500  4 Er 3.41, 4 Lu 3.41
Er: 0.5000 0.5000 0.5000  4 Sc 3.41, 4 Eu 3.41
Lu: 0.0000 0.0000 0.0000  4 Eu 3.41, 4 Sc 3.41
Eu: 0.2500 0.2500 0.2500  4 Er 3.41, 4 Lu 3.41

Output
- symmetry = F-43m (216)

=====

Here is crystalline TbEuErLu at its relaxed geometry from Alexandria. Energies are from PBE.

Cell lengths 5.6926, 5.6926, 5.6926 Å; angles 60.00, 60.00, 60.00 degrees
Last column: nearest neighbours and their distance in Å.
Sites, in units of the cell vectors:
Tb: 0.7500 0.7500 0.7500  4 Er 3.49, 4 Eu 3.49
Eu: 0.5000 0.5000 0.5000  4 Lu 3.49, 4 Tb 3.49
Lu: 0.2500 0.2500 0.2500  4 Er 3.49, 4 Eu 3.49
Er: 0.0000 0.0000 0.0000  4 Tb 3.49, 4 Lu 3.49

Output
- symmetry = F-43m (216)

=====

Here is crystalline EuErLuTh at its relaxed geometry from Alexandria. Energies are from PBE.

Cell lengths 5.7017, 5.7017, 5.7017 Å; angles 60.00, 60.00, 60.00 degrees
Last column: nearest neighbours and their distance in Å.
Sites, in units of the cell vectors:
Th: 0.5000 0.5000 0.5000  4 Lu 3.49, 4 Er 3.49
Eu: 0.0000 0.0000 0.0000  4 Er 3.49, 4 Lu 3.49
Lu: 0.2500 0.2500 0.2500  4 Th 3.49, 4 Eu 3.49
Er: 0.7500 0.7500 0.7500  4 Th 3.49, 4 Eu 3.49

Output
- symmetry = F-43m (216)

=====

Here is crystalline EuErLuTl at its relaxed geometry from Alexandria. Energies are from PBE.

Cell lengths 5.5218, 5.5218, 5.5218 Å; angles 60.00, 60.00, 60.00 degrees
Last column: nearest neighbours and their distance in Å.
Sites, in units of the cell vectors:
Lu: 0.2500 0.2500 0.2500  4 Eu 3.38, 4 Er 3.38
Eu: 0.0000 0.0000 0.0000  4 Tl 3.38, 4 Lu 3.38
Er: 0.5000 0.5000 0.5000  4 Lu 3.38, 4 Tl 3.38
Tl: 0.7500 0.7500 0.7500  4 Er 3.38, 4 Eu 3.38

Output
- symmetry = F-43m (216)

=====

Number 1: DFT total energy -24.9 eV/cell, calculated volume 30.39 A^3/atom. Number 2: DFT total energy -23.3 eV/cell, calculated volume 32.61 A^3/atom. Number 3: DFT total energy -26.1 eV/cell, calculated volume 32.77 A^3/atom. Number 4: DFT total energy -21.8 eV/cell, calculated volume 29.76 A^3/atom.